Here is a geometry-optimized Th4AsPS2 structure from Alexandria via LeMat-Bulk. Energies are from PBE.

Cell lengths 7.0684, 4.1615, 7.1654 Å; angles 90.00, 109.89, 90.00 degrees
Positions (direct):
Th: 0.2442 0.0000 0.2417
Th: 0.2489 0.5000 0.7562
Th: 0.7511 0.5000 0.2438
Th: 0.7558 0.0000 0.7583
As: 0.5000 0.5000 0.5000
P: 0.5000 0.0000 0.0000
S: 0.0000 0.0000 0.5000
S: 0.0000 0.5000 0.0000

## Properties
Raw total energy = -7.67 eV/atom
DOS(E_F) = 5.0 states/eV per cell
Magnetic moment = 0.000 μB/atom
Uncorrected formation energy = -1.670 eV/atom
V = 198.2 Å³/cell



Here is a geometry-optimized YPbW structure from Alexandria via LeMat-Bulk. Energies are from PBE.

Cell lengths 4.8106, 4.8106, 4.8106 Å; angles 60.00, 60.00, 60.00 degrees
Positions (direct):
Y: 0.0000 0.0000 0.0000
Pb: 0.7500 0.7500 0.7500
W: 0.5000 0.5000 0.5000

## Properties
Raw total energy = -6.78 eV/atom
DOS(E_F) = 3.1 states/eV per cell
Magnetic moment = 0.196 μB/atom
Excess energy over the best structure of this formula in the dataset = 457 meV per atom
Energy relative to the elements = 2.77 eV/f.u.
V = 78.7 Å³/cell



Here is a geometry-optimized NdDy4Er structure from Alexandria via LeMat-Bulk. Energies are from PBE.

Cell lengths 9.6247, 9.6247, 6.3584 Å; angles 105.58, 105.58, 125.92 degrees
Positions (direct):
Nd: 0.0556 0.9444 0.7500
Nd: 0.9444 0.0556 0.2500
Dy: 0.1569 0.3718 0.0260
Dy: 0.1587 0.6782 0.4416
Dy: 0.3218 0.8413 0.0584
Dy: 0.3718 0.1569 0.5260
Dy: 0.6282 0.8431 0.4740
Dy: 0.6782 0.1587 0.9416
Dy: 0.8413 0.3218 0.5584
Dy: 0.8431 0.6282 0.9740
Er: 0.4227 0.5773 0.7500
Er: 0.5773 0.4227 0.2500

## Properties
Raw total energy = -4.54 eV/atom
DOS(E_F) = 14.8 states/eV per cell
Magnetic moment = 0.000 μB/atom
Excess energy over the best structure of this formula in the dataset = 90 meV per atom
Energy relative to the elements = 0.52 eV/f.u.
V = 384.9 Å³/cell



Here is a geometry-optimized Mn5Tc structure from Alexandria via LeMat-Bulk. Energies are from PBE.

Cell lengths 4.1008, 6.7340, 6.7340 Å; angles 21.92, 90.00, 90.00 degrees
Positions (direct):
Mn: 0.0000 0.0000 0.0000
Mn: 0.0000 0.3226 0.3226
Mn: 0.0000 0.6622 0.6622
Mn: 0.5000 0.2092 0.2092
Mn: 0.5000 0.5555 0.5555
Tc: 0.5000 0.8832 0.8832

## Properties
Raw total energy = -9.28 eV/atom
DOS(E_F) = 8.8 states/eV per cell
Magnetic moment = 0.016 μB/atom
Excess energy over the best structure of this formula in the dataset = 56 meV per atom
Energy relative to the elements = 0.55 eV/f.u.
V = 69.4 Å³/cell



Here is a geometry-optimized La3Ag2 structure from Alexandria via LeMat-Bulk. Energies are from PBE.

Cell lengths 12.8382, 12.8382, 12.8382 Å; angles 16.66, 16.66, 16.66 degrees
Positions (direct):
La: 0.0000 0.0000 0.0000
La: 0.4127 0.4127 0.4127
La: 0.5873 0.5873 0.5873
Ag: 0.1908 0.1908 0.1908
Ag: 0.8092 0.8092 0.8092

## Properties
Raw total energy = -4.06 eV/atom
DOS(E_F) = 6.0 states/eV per cell
Magnetic moment = 0.000 μB/atom
Excess energy over the best structure of this formula in the dataset = 241 meV per atom
Energy relative to the elements = 0.19 eV/f.u.
V = 151.7 Å³/cell



Here is a geometry-optimized RbNaAg2Au structure from Alexandria via LeMat-Bulk. Energies are from PBE.

Cell lengths 5.4033, 5.4033, 5.4133 Å; angles 90.00, 90.00, 90.00 degrees
Positions (direct):
Rb: 0.0000 0.0000 0.0000
Na: 0.5000 0.5000 0.0000
Ag: 0.0000 0.5000 0.5000
Ag: 0.5000 0.0000 0.5000
Au: 0.5000 0.5000 0.5000

## Properties
Raw total energy = -2.22 eV/atom
DOS(E_F) = 2.2 states/eV per cell
Magnetic moment = 0.000 μB/atom
Energy relative to the elements = 0.18 eV/f.u.
V = 158.0 Å³/cell



Here is a geometry-optimized Th2MnSe2I4 structure from Alexandria via LeMat-Bulk. Energies are from PBE.

Cell lengths 3.8851, 3.8851, 23.8270 Å; angles 90.00, 90.00, 120.00 degrees
Positions (direct):
Th: 0.0000 0.0000 0.0000
Th: 0.3333 0.6667 0.3724
Mn: 0.3333 0.6667 0.6975
Se: 0.0000 0.0000 0.6391
Se: 0.0000 0.0000 0.7560
I: 0.0000 0.0000 0.2754
I: 0.0000 0.0000 0.4689
I: 0.3333 0.6667 0.0970
I: 0.3333 0.6667 0.9036

## Properties
Raw total energy = -4.88 eV/atom
DOS(E_F) = 2.9 states/eV per cell
Magnetic moment = 0.348 μB/atom
Uncorrected formation energy = -0.747 eV/atom
V = 311.5 Å³/cell



Here is a geometry-optimized NdGd2Mg structure from Alexandria via LeMat-Bulk. Energies are from PBE.

Cell lengths 4.9708, 4.9708, 5.0040 Å; angles 90.00, 90.00, 90.00 degrees
Positions (direct):
Nd: 0.0000 0.0000 0.0000
Gd: 0.0000 0.5000 0.5000
Gd: 0.5000 0.0000 0.5000
Mg: 0.5000 0.5000 0.0000

## Properties
Raw total energy = -8.64 eV/atom
DOS(E_F) = 5.3 states/eV per cell
Magnetic moment = 3.876 μB/atom
Excess energy over the best structure of this formula in the dataset = 29 meV per atom
Energy relative to the elements = -0.03 eV/f.u.
V = 123.6 Å³/cell



Here is a geometry-optimized Ba2TmCdSe5 structure from Alexandria via LeMat-Bulk. Energies are from PBE.

Cell lengths 9.7426, 9.7426, 13.2961 Å; angles 90.00, 90.00, 154.39 degrees
Positions (direct):
Ba: 0.1157 0.8843 0.5000
Ba: 0.1311 0.8689 0.1267
Ba: 0.8689 0.1311 0.6267
Ba: 0.8843 0.1157 0.0000
Tm: 0.2080 0.7920 0.8276
Tm: 0.7920 0.2080 0.3276
Cd: 0.4492 0.5508 0.2578
Cd: 0.5508 0.4492 0.7578
Se: 0.0575 0.9425 0.8724
Se: 0.2905 0.7095 0.4689
Se: 0.3081 0.6919 0.1837
Se: 0.3534 0.6466 0.8175
Se: 0.4952 0.5048 0.5797
Se: 0.5048 0.4952 0.0797
Se: 0.6466 0.3534 0.3175
Se: 0.6919 0.3081 0.6837
Se: 0.7095 0.2905 0.9689
Se: 0.9425 0.0575 0.3724

## Properties
Raw total energy = -4.48 eV/atom
DOS(E_F) = 13.1 states/eV per cell
Magnetic moment = 0.000 μB/atom
Uncorrected formation energy = -1.514 eV/atom
V = 545.6 Å³/cell



Here is a geometry-optimized TaAlCu structure from Alexandria via LeMat-Bulk. Energies are from PBE.

Cell lengths 4.2011, 4.2011, 2.9737 Å; angles 90.00, 90.00, 120.00 degrees
Positions (direct):
Ta: 0.0000 0.0000 0.0000
Al: 0.6667 0.3333 0.5000
Cu: 0.3333 0.6667 0.5000

## Properties
Raw total energy = -6.69 eV/atom
DOS(E_F) = 1.8 states/eV per cell
Magnetic moment = 0.000 μB/atom
Energy relative to the elements = -0.37 eV/f.u.
V = 45.5 Å³/cell



Here is a geometry-optimized Pr2YZn6 structure from Alexandria via LeMat-Bulk. Energies are from PBE.

Cell lengths 7.8971, 7.8971, 3.6139 Å; angles 90.00, 90.00, 120.00 degrees
Positions (direct):
Pr: 0.3333 0.6667 0.0000
Pr: 0.6667 0.3333 0.0000
Y: 0.0000 0.0000 0.0000
Zn: 0.0000 0.3288 0.5000
Zn: 0.0000 0.6712 0.5000
Zn: 0.3288 0.0000 0.5000
Zn: 0.3288 0.3288 0.5000
Zn: 0.6712 0.0000 0.5000
Zn: 0.6712 0.6712 0.5000

## Properties
Raw total energy = -2.98 eV/atom
DOS(E_F) = 8.1 states/eV per cell
Magnetic moment = 0.000 μB/atom
Energy relative to the elements = -3.18 eV/f.u.
V = 195.2 Å³/cell



Here is a geometry-optimized Tb4CeEr5 structure from Alexandria via LeMat-Bulk. Energies are from PBE.

Cell lengths 10.8653, 10.8653, 8.1948 Å; angles 97.08, 97.08, 19.34 degrees
Positions (direct):
Tb: 0.1120 0.1120 0.3333
Tb: 0.3143 0.3143 0.9469
Tb: 0.6857 0.6857 0.0531
Tb: 0.8880 0.8880 0.6667
Ce: 0.5000 0.5000 0.0000
Er: 0.0957 0.0957 0.7566
Er: 0.2823 0.2823 0.3580
Er: 0.5000 0.5000 0.5000
Er: 0.7177 0.7177 0.6420
Er: 0.9043 0.9043 0.2434

## Properties
Raw total energy = -4.64 eV/atom
DOS(E_F) = 19.5 states/eV per cell
Magnetic moment = 0.150 μB/atom
Excess energy over the best structure of this formula in the dataset = 0 meV per atom
Energy relative to the elements = 0.90 eV/f.u.
V = 317.9 Å³/cell



Here is a geometry-optimized Ho3AgTe6 structure from Alexandria via LeMat-Bulk. Energies are from PBE.

Cell lengths 9.1491, 9.1491, 7.5964 Å; angles 90.00, 90.00, 95.82 degrees
Positions (direct):
Ho: 0.1003 0.8997 0.5000
Ho: 0.2316 0.4229 0.4036
Ho: 0.4229 0.2316 0.9036
Ho: 0.5771 0.7684 0.4036
Ho: 0.7684 0.5771 0.9036
Ho: 0.8997 0.1003 0.0000
Ag: 0.2701 0.7299 0.8613
Ag: 0.7299 0.2701 0.3613
Te: 0.0390 0.5927 0.6671
Te: 0.1239 0.2048 0.6996
Te: 0.2048 0.1239 0.1996
Te: 0.2720 0.7280 0.2276
Te: 0.4073 0.9610 0.6671
Te: 0.4625 0.5375 0.6996
Te: 0.5375 0.4625 0.1996
Te: 0.5927 0.0390 0.1671
Te: 0.7280 0.2720 0.7276
Te: 0.7952 0.8761 0.6996
Te: 0.8761 0.7952 0.1996
Te: 0.9610 0.4073 0.1671

## Properties
Raw total energy = -4.50 eV/atom
DOS(E_F) = 7.9 states/eV per cell
Magnetic moment = 0.000 μB/atom
Uncorrected formation energy = -0.953 eV/atom
V = 632.6 Å³/cell



Here is a geometry-optimized KHg3Pt structure from Alexandria via LeMat-Bulk. Energies are from PBE.

Cell lengths 7.2975, 7.2975, 7.2975 Å; angles 62.32, 62.32, 62.32 degrees
Positions (direct):
K: 0.0000 0.0000 0.0000
Hg: 0.0424 0.0424 0.4422
Hg: 0.0424 0.4422 0.0424
Hg: 0.4422 0.0424 0.0424
Pt: 0.8267 0.8267 0.8267

## Properties
Raw total energy = -1.43 eV/atom
DOS(E_F) = 3.1 states/eV per cell
Magnetic moment = 0.000 μB/atom
Excess energy over the best structure of this formula in the dataset = 445 meV per atom
Energy relative to the elements = 0.88 eV/f.u.
V = 289.0 Å³/cell



Here is a geometry-optimized Li3CePa2Se6 structure from Alexandria via LeMat-Bulk. Energies are from PBE.

Cell lengths 7.0274, 7.0274, 7.0586 Å; angles 99.58, 99.58, 119.96 degrees
Positions (direct):
Li: 0.0000 0.0000 0.0000
Li: 0.3344 0.6656 0.0000
Li: 0.6656 0.3344 0.0000
Ce: 0.5000 0.5000 0.5000
Pa: 0.1656 0.8344 0.5000
Pa: 0.8344 0.1656 0.5000
Se: 0.0711 0.4131 0.2380
Se: 0.2480 0.2480 0.7657
Se: 0.4131 0.0711 0.2380
Se: 0.5869 0.9289 0.7620
Se: 0.7520 0.7520 0.2343
Se: 0.9289 0.5869 0.7620

## Properties
Raw total energy = -5.67 eV/atom
DOS(E_F) = 15.2 states/eV per cell
Magnetic moment = 0.397 μB/atom
Uncorrected formation energy = -1.375 eV/atom
V = 284.8 Å³/cell



Here is a geometry-optimized Tl2InSnHg6 structure from Alexandria via LeMat-Bulk. Energies are from PBE.

Cell lengths 6.2738, 6.7648, 6.8019 Å; angles 81.53, 89.91, 89.85 degrees
Positions (direct):
Tl: 0.2460 0.4150 0.0950
Tl: 0.7540 0.5850 0.9050
In: 0.5000 0.5000 0.5000
Sn: 0.0000 0.0000 0.0000
Hg: 0.0912 0.2706 0.6004
Hg: 0.2471 0.7840 0.7114
Hg: 0.4104 0.9096 0.2366
Hg: 0.5896 0.0904 0.7634
Hg: 0.7529 0.2160 0.2886
Hg: 0.9088 0.7294 0.3996

## Properties
Raw total energy = -1.30 eV/atom
DOS(E_F) = 3.7 states/eV per cell
Magnetic moment = 0.000 μB/atom
Energy relative to the elements = 0.27 eV/f.u.
V = 285.5 Å³/cell



Here is a geometry-optimized AcTb2Cd9 structure from Alexandria via LeMat-Bulk. Energies are from PBE.

Cell lengths 10.1637, 10.1637, 10.1637 Å; angles 34.58, 34.58, 34.58 degrees
Positions (direct):
Ac: 0.0000 0.0000 0.0000
Tb: 0.1436 0.1436 0.1436
Tb: 0.8564 0.8564 0.8564
Cd: 0.0770 0.5909 0.5909
Cd: 0.3356 0.3356 0.3356
Cd: 0.4091 0.4091 0.9230
Cd: 0.4091 0.9230 0.4091
Cd: 0.5000 0.5000 0.5000
Cd: 0.5909 0.0770 0.5909
Cd: 0.5909 0.5909 0.0770
Cd: 0.6644 0.6644 0.6644
Cd: 0.9230 0.4091 0.4091

## Properties
Raw total energy = -2.05 eV/atom
DOS(E_F) = 9.2 states/eV per cell
Magnetic moment = 0.000 μB/atom
Energy relative to the elements = -3.03 eV/f.u.
V = 301.8 Å³/cell



Here is a geometry-optimized LaPm2ZrN4 structure from Alexandria via LeMat-Bulk. Energies are from PBE.

Cell lengths 6.1192, 3.5332, 6.1849 Å; angles 90.00, 109.13, 90.00 degrees
Positions (direct):
La: 0.0000 0.0000 0.0000
Pm: 0.5000 0.0000 0.5000
Pm: 0.5000 0.5000 0.0000
Zr: 0.0000 0.5000 0.5000
N: 0.2314 0.0000 0.7275
N: 0.2382 0.5000 0.2716
N: 0.7618 0.5000 0.7284
N: 0.7686 0.0000 0.2725

## Properties
Raw total energy = -8.48 eV/atom
DOS(E_F) = 1.3 states/eV per cell
Magnetic moment = 0.000 μB/atom
Uncorrected formation energy = -1.442 eV/atom
V = 126.3 Å³/cell



Here is a geometry-optimized Pr2Er5Tm12 structure from Alexandria via LeMat-Bulk. Energies are from PBE.

Cell lengths 6.0358, 8.7465, 11.5223 Å; angles 91.49, 103.41, 95.52 degrees
Positions (direct):
Pr: 0.2144 0.4731 0.4197
Pr: 0.7856 0.5269 0.5803
Er: 0.0000 0.0000 0.0000
Er: 0.1652 0.8449 0.5253
Er: 0.4523 0.6916 0.0495
Er: 0.5477 0.3084 0.9505
Er: 0.8348 0.1551 0.4747
Tm: 0.0108 0.7386 0.2101
Tm: 0.0972 0.3742 0.1091
Tm: 0.2532 0.1013 0.3158
Tm: 0.3403 0.9458 0.8313
Tm: 0.3482 0.5741 0.7376
Tm: 0.4155 0.2085 0.6338
Tm: 0.5845 0.7915 0.3662
Tm: 0.6518 0.4259 0.2624
Tm: 0.6597 0.0542 0.1687
Tm: 0.7468 0.8987 0.6842
Tm: 0.9028 0.6258 0.8909
Tm: 0.9892 0.2614 0.7899

## Properties
Raw total energy = -4.47 eV/atom
DOS(E_F) = 30.2 states/eV per cell
Magnetic moment = 0.000 μB/atom
Excess energy over the best structure of this formula in the dataset = 0 meV per atom
Energy relative to the elements = 1.09 eV/f.u.
V = 588.2 Å³/cell



Here is a geometry-optimized KLiBr4 structure from Alexandria via LeMat-Bulk. Energies are from PBE.

Cell lengths 6.6454, 6.6454, 6.6454 Å; angles 60.00, 60.00, 60.00 degrees
Positions (direct):
K: 0.0000 0.0000 0.0000
Li: 0.7500 0.7500 0.7500
Br: 0.3751 0.3751 0.3751
Br: 0.3751 0.3751 0.8746
Br: 0.3751 0.8746 0.3751
Br: 0.8746 0.3751 0.3751

## Properties
Raw total energy = -2.07 eV/atom
DOS(E_F) = 2.3 states/eV per cell
Magnetic moment = 0.336 μB/atom
Uncorrected formation energy = -0.456 eV/atom
V = 207.5 Å³/cell



Here is a geometry-optimized CePaAgBi structure from Alexandria via LeMat-Bulk. Energies are from PBE.

Cell lengths 5.3957, 5.3957, 5.3957 Å; angles 60.00, 60.00, 60.00 degrees
Positions (direct):
Ce: 0.0000 0.0000 0.0000
Pa: 0.5000 0.5000 0.5000
Ag: 0.7500 0.7500 0.7500
Bi: 0.2500 0.2500 0.2500

## Properties
Raw total energy = -5.55 eV/atom
DOS(E_F) = 14.9 states/eV per cell
Magnetic moment = 1.068 μB/atom
Energy relative to the elements = -0.03 eV/f.u.
V = 111.1 Å³/cell



Here is a geometry-optimized AcDyAs structure from Alexandria via LeMat-Bulk. Energies are from PBE.

Cell lengths 4.9080, 4.9080, 4.5172 Å; angles 90.00, 90.00, 120.00 degrees
Positions (direct):
Ac: 0.0000 0.0000 0.0000
Dy: 0.6667 0.3333 0.5034
As: 0.3333 0.6667 0.5413

## Properties
Raw total energy = -5.05 eV/atom
DOS(E_F) = 3.8 states/eV per cell
Magnetic moment = 0.000 μB/atom
Energy relative to the elements = -1.78 eV/f.u.
V = 94.2 Å³/cell



Here is a geometry-optimized Ba4Mg5 structure from Alexandria via LeMat-Bulk. Energies are from PBE.

Cell lengths 10.7088, 10.7088, 7.3606 Å; angles 90.00, 90.00, 120.00 degrees
Positions (direct):
Ba: 0.0000 0.0000 0.0000
Ba: 0.0000 0.0000 0.5000
Ba: 0.0000 0.3583 0.2500
Ba: 0.0000 0.6417 0.7500
Ba: 0.3583 0.0000 0.2500
Ba: 0.3583 0.3583 0.7500
Ba: 0.6417 0.0000 0.7500
Ba: 0.6417 0.6417 0.2500
Mg: 0.0000 0.3161 0.7500
Mg: 0.0000 0.6839 0.2500
Mg: 0.3161 0.0000 0.7500
Mg: 0.3161 0.3161 0.2500
Mg: 0.3333 0.6667 0.0000
Mg: 0.3333 0.6667 0.5000
Mg: 0.6667 0.3333 0.0000
Mg: 0.6667 0.3333 0.5000
Mg: 0.6839 0.0000 0.2500
Mg: 0.6839 0.6839 0.7500

## Properties
Raw total energy = -1.67 eV/atom
DOS(E_F) = 21.3 states/eV per cell
Magnetic moment = 0.000 μB/atom
Excess energy over the best structure of this formula in the dataset = 25 meV per atom
Energy relative to the elements = 0.67 eV/f.u.
V = 731.0 Å³/cell